# Dy5YEr

An optimized crystal structure of Dy5YEr (PBE, Alexandria).

abc: 5.7872 8.6280 11.9430
angles: 90.00 90.00 90.00
Last column: nearest neighbours and their distance in Å.
Space group Immm (No. 71)
Inequivalent atoms, fractional coordinates:
Dy: 0.0000 0.0000 0.0000  2 Er 2.89
Dy: 0.0000 0.1778 0.5000  1 Er 2.78, 1 Dy 3.07
Dy: 0.0000 0.5000 0.2553  1 Er 2.92, 1 Y 3.05
Y: 0.0000 0.5000 0.0000  6 Dy 3.05-3.28
Er: 0.0000 0.5000 0.5000  6 Dy 2.78-2.92

- Energy above the most stable polymorph in this dataset: 921 meV per atom
- Energy of formation from the pure elements: 1.11 eV/atom
- DOS(E_F): 1.190 states/eV per atom
- Magnetic moment: 0.001 μB/f.u.

# ZnPtCl2

An optimized crystal structure of ZnPtCl2 (PBE, Alexandria).

abc: 5.9775 6.8429 3.5361
angles: 90.00 90.00 90.00
Last column: nearest neighbours and their distance in Å.
Space group Cmmm (No. 65)
Inequivalent atoms, fractional coordinates:
Zn: 0.0000 0.0000 0.0000  8 Cl 2.88, 2 Pt 2.99
Pt: 0.0000 0.5000 0.0000  8 Cl 2.88, 2 Zn 2.99
Cl: 0.2500 0.2500 0.5000  4 Pt 2.88, 4 Zn 2.88, 2 Cl 2.99

- Energy above the most stable polymorph in this dataset: 795 meV per atom
- DOS(E_F): 0.854 states/eV per atom
- Magnetic moment: 0.000 μB/f.u.

# Tb3Nd6Sm2Ho

An optimized crystal structure of Tb3Nd6Sm2Ho (PBE, Alexandria).

abc: 6.2991 10.9117 11.9676
angles: 90.00 100.11 90.00
Last column: nearest neighbours and their distance in Å.
Space group C2/m (No. 12)
Inequivalent atoms, fractional coordinates:
Tb: 0.0000 0.0000 0.0000  6 Nd 3.61, 6 Tb 3.64
Tb: 0.0000 0.3335 0.0000  6 Nd 3.60-3.61, 6 Tb 3.63-3.64
Nd: 0.2489 0.5000 0.2489  3 Tb 3.60-3.61, 1 Ho 3.62, 6 Nd 3.63-3.64, 2 Sm 3.63
Nd: 0.2499 0.1663 0.2491  3 Tb 3.61, 1 Ho 3.62, 2 Sm 3.63, 6 Nd 3.63-3.64
Sm: 0.0000 0.1668 0.5000  6 Nd 3.63, 3 Sm 3.64, 3 Ho 3.64
Ho: 0.0000 0.5000 0.5000  6 Nd 3.62, 6 Sm 3.64

- Energy of formation from the pure elements: 0.01 eV/atom
- DOS(E_F): 1.266 states/eV per atom
- Magnetic moment: 0.000 μB/f.u.

# Zr2CdCl

An optimized crystal structure of Zr2CdCl (PBE, Alexandria).

abc: 4.3628 4.3628 4.6393
angles: 90.00 90.00 90.00
Last column: nearest neighbours and their distance in Å.
Space group P4/mmm (No. 123)
Inequivalent atoms, fractional coordinates:
Zr: 0.0000 0.5000 0.0000  4 Zr 3.08, 4 Cl 3.18, 4 Cd 3.18
Cd: 0.0000 0.0000 0.5000  4 Cl 3.08, 8 Zr 3.18
Cl: 0.5000 0.5000 0.5000  4 Cd 3.08, 8 Zr 3.18

- Energy above the most stable polymorph in this dataset: 642 meV per atom
- DOS(E_F): 0.924 states/eV per atom
- Magnetic moment: 0.000 μB/f.u.

# Na2URuO8

An optimized crystal structure of Na2URuO8 (PBE, Alexandria).

abc: 5.1466 6.4640 5.1661
angles: 90.00 92.29 90.00
Last column: nearest neighbours and their distance in Å.
Space group P2/m (No. 10)
Inequivalent atoms, fractional coordinates:
Na: 0.0000 0.2432 0.0000  6 O 2.37-2.44
U: 0.5000 0.5000 0.5000  2 O 1.88
Ru: 0.5000 0.0000 0.5000  6 O 1.80-1.95
O: 0.2379 0.5000 0.2355  1 U 1.88
O: 0.2502 0.0000 0.2474  1 Ru 1.80
O: 0.3266 0.2280 0.6701  1 Ru 1.95, 1 U 2.17

- DOS(E_F): 0.540 states/eV per atom
- Magnetic moment: 0.000 μB/f.u.

Calculated total energy per entry: -3.75, -2.37, -4.70, -4.84, -6.92 eV per atom